[1]
Material: Li2OsSe
Method: DFT, GGA-PBEsol
State: optimized geometry

```
Li2OsSe
1.0
-1.095 2.113 1.200
0.401 -1.860 1.867
7.703 3.149 1.482
Li Se Os
2 1 1
direct
0.000 0.000 0.251 Li
0.000 0.000 0.749 Li
0.500 0.500 0.000 Se
0.500 0.500 0.500 Os
```

## Properties
As for the space group: No. 65. Its formation energy (no corrections) is -0.13 eV per formula unit. The density of states at the Fermi level is 0.42 states/eV per atom. The calculation puts the total magnetization at 0.000 μB per atom.

---

[2]
Material: LiOsSe3
Method: DFT, GGA-PBEsol
State: optimized geometry

```
LiOsSe3
1.0
-4.197 -0.336 -2.518
1.827 -3.777 -2.542
-1.764 -3.113 3.356
Li Se Os
1 3 1
direct
0.500 0.500 0.500 Li
0.000 0.000 0.500 Se
0.500 0.000 0.000 Se
0.000 0.500 0.000 Se
0.000 0.000 0.000 Os
```

## Properties
Its energy above the most stable polymorph in this dataset is 0.0 meV per atom. As for the space group: No. 221. Its formation energy (no corrections) is 1.54 eV per formula unit. The density of states at the Fermi level is 1.28 states/eV per atom. The calculation puts the total magnetization at 0.070 μB per atom.

---

[3]
Material: Li2OsSe
Method: DFT, GGA-PBEsol
State: optimized geometry

```
Li2OsSe
1.0
-0.568 -2.247 -1.514
-0.826 -2.333 1.241
-8.598 0.989 -0.774
Se Os Li
1 1 2
direct
0.000 0.000 0.000 Se
0.500 0.500 0.500 Os
0.251 0.251 0.247 Li
0.749 0.749 0.753 Li
```

## Properties
As for the space group: No. 166. Its formation energy (no corrections) is -0.12 eV per formula unit. The density of states at the Fermi level is 0.52 states/eV per atom. The calculation puts the total magnetization at 0.000 μB per atom.

---

[4]
Material: LiOsSe2
Method: DFT, GGA-PBEsol
State: optimized geometry

```
LiOsSe2
1.0
2.951 0.000 0.000
1.476 2.556 0.000
1.476 0.852 8.473
Se Li Os
2 1 1
direct
0.908 0.908 0.277 Se
0.092 0.092 0.723 Se
0.500 0.500 0.500 Li
0.000 0.000 0.000 Os
```

## Properties
As for the space group: No. 166. Its formation energy (no corrections) is 0.32 eV per formula unit. The density of states at the Fermi level is 0.55 states/eV per atom. The calculation puts the total magnetization at 0.000 μB per atom.

---

[5]
Material: LiOsSe
Method: DFT, GGA-PBEsol
State: optimized geometry

```
LiOsSe
1.0
-1.538 0.272 2.674
-3.389 -1.461 -1.801
2.650 -2.579 1.787
Li Os Se
1 1 1
direct
0.500 0.000 0.000 Li
0.000 0.667 0.333 Os
0.000 0.333 0.667 Se
```

## Properties
Its energy above the most stable polymorph in this dataset is 0.0 meV per atom. As for the space group: No. 187. Its formation energy (no corrections) is 0.47 eV per formula unit. The density of states at the Fermi level is 0.55 states/eV per atom. The calculation puts the total magnetization at 0.000 μB per atom.

---

[6]
Material: Li2SiOs
Method: DFT, GGA-PBEsol
State: optimized geometry

```
Li2SiOs
1.0
-1.857 0.865 -1.997
0.426 -3.464 -1.896
-3.363 -1.717 2.383
Si Li Os
1 2 1
direct
0.000 0.500 0.500 Si
0.500 0.500 0.000 Li
0.000 0.000 0.000 Li
0.500 0.000 0.500 Os
```

## Properties
As for the space group: No. 47. Its formation energy (no corrections) is -0.67 eV per formula unit. The density of states at the Fermi level is 0.55 states/eV per atom. The calculation puts the total magnetization at 0.032 μB per atom.

---

[7]
Material: Li2SiOs
Method: DFT, GGA-PBEsol
State: optimized geometry

```
Li2SiOs
1.0
2.826 0.000 0.000
0.000 3.993 0.000
-1.413 -1.997 4.491
Si Li Os
1 2 1
direct
0.000 0.500 0.000 Si
0.254 0.254 0.509 Li
0.746 0.746 0.491 Li
0.500 0.000 0.000 Os
```

## Properties
As for the space group: No. 71. Its formation energy (no corrections) is -0.74 eV per formula unit. The density of states at the Fermi level is 0.51 states/eV per atom. The calculation puts the total magnetization at 0.051 μB per atom.

---

[8]
Material: LiSiOs
Method: DFT, GGA-PBEsol
State: optimized geometry

```
LiSiOs
1.0
-2.265 1.559 2.597
-3.754 -0.125 -0.446
-2.099 -2.203 2.246
Li Si Os
1 1 1
direct
0.250 0.250 0.250 Li
0.500 0.500 0.500 Si
0.000 0.000 0.000 Os
```

## Properties
Its energy above the most stable polymorph in this dataset is 851.6 meV per atom. As for the space group: No. 216. Its formation energy (no corrections) is 1.91 eV per formula unit. The density of states at the Fermi level is 0.93 states/eV per atom. The calculation puts the total magnetization at 0.000 μB per atom.

---

[9]
Material: LiSiOs
Method: DFT, GGA-PBEsol
State: optimized geometry

```
LiSiOs
1.0
3.076 0.000 0.000
0.000 3.076 0.000
-1.538 -1.538 3.813
Li Os Si
1 1 1
direct
0.002 0.002 0.003 Li
0.672 0.672 0.343 Os
0.327 0.327 0.654 Si
```

## Properties
Its energy above the most stable polymorph in this dataset is 0.0 meV per atom. As for the space group: No. 107. Its formation energy (no corrections) is -0.65 eV per formula unit. The density of states at the Fermi level is 0.44 states/eV per atom. The calculation puts the total magnetization at 0.000 μB per atom.

---

[10]
Material: Li2SiOs
Method: DFT, GGA-PBEsol
State: optimized geometry

```
Li2SiOs
1.0
-1.631 1.117 2.344
-2.523 -1.334 -1.119
1.136 -4.682 3.021
Si Li Os
1 2 1
direct
0.500 0.500 0.716 Si
0.500 0.500 0.260 Li
0.000 0.000 0.999 Li
0.000 0.000 0.525 Os
```

## Properties
As for the space group: No. 99. Its formation energy (no corrections) is -0.64 eV per formula unit. The density of states at the Fermi level is 0.33 states/eV per atom. The calculation puts the total magnetization at 0.000 μB per atom.

---

[11]
Material: LiSiOs2
Method: DFT, GGA-PBEsol
State: optimized geometry

```
LiSiOs2
1.0
2.824 0.000 0.000
0.000 4.237 -0.015
-1.412 -1.336 4.198
Os Li Si
2 1 1
direct
0.751 0.289 0.502 Os
0.003 0.960 0.006 Os
0.249 0.779 0.498 Li
0.497 0.471 0.994 Si
```

## Properties
As for the space group: No. 8. Its formation energy (no corrections) is -0.05 eV per formula unit. The density of states at the Fermi level is 0.76 states/eV per atom. The calculation puts the total magnetization at 0.000 μB per atom.

---

[12]
Material: LiSiOs4
Method: DFT, GGA-PBEsol
State: optimized geometry

```
LiSiOs4
1.0
-3.833 -1.437 -3.020
0.744 -3.602 -3.515
-2.109 -4.593 0.578
Os Li Si
4 1 1
direct
0.375 0.875 0.375 Os
0.375 0.375 0.875 Os
0.875 0.375 0.375 Os
0.375 0.375 0.375 Os
0.000 0.000 0.000 Li
0.750 0.750 0.750 Si
```

## Properties
As for the space group: No. 216. Its formation energy (no corrections) is 4.76 eV per formula unit. The density of states at the Fermi level is 1.34 states/eV per atom. The calculation puts the total magnetization at 0.000 μB per atom.

---

[13]
Material: LiSiOs2
Method: DFT, GGA-PBEsol
State: optimized geometry

```
LiSiOs2
1.0
-1.424 1.896 1.401
-1.075 -2.829 2.736
4.570 0.068 1.866
Si Os Li
1 2 1
direct
0.699 0.000 0.524 Si
0.953 0.000 0.029 Os
0.555 0.500 0.235 Os
0.294 0.500 0.713 Li
```

## Properties
As for the space group: No. 6. Its formation energy (no corrections) is 0.02 eV per formula unit. The density of states at the Fermi level is 0.69 states/eV per atom. The calculation puts the total magnetization at 0.000 μB per atom.

---

[14]
Material: LiSm2Os
Method: DFT, GGA-PBEsol
State: optimized geometry

```
LiSm2Os
1.0
-0.371 -4.681 1.476
2.447 -3.537 -2.395
3.839 -2.218 2.139
Sm Li Os
2 1 1
direct
0.250 0.250 0.250 Sm
0.750 0.750 0.750 Sm
0.500 0.500 0.500 Li
0.000 0.000 0.000 Os
```

## Properties
As for the space group: No. 225. The density of states at the Fermi level is 0.55 states/eV per atom. The calculation puts the total magnetization at 0.000 μB per atom. The final energy is -6.211 eV per atom.

---

[15]
Material: Li2SnOs
Method: DFT, GGA-PBEsol
State: optimized geometry

```
Li2SnOs
1.0
5.142 0.000 0.000
2.571 4.978 0.000
2.571 0.000 4.978
Os Li Sn
2 4 2
direct
0.750 0.500 0.500 Os
0.000 0.000 0.000 Os
0.375 0.985 0.515 Li
0.110 0.515 0.015 Li
0.875 0.015 0.485 Li
0.640 0.485 0.985 Li
0.250 0.500 0.500 Sn
0.500 0.000 0.000 Sn
```

## Properties
As for the space group: No. 122. The density of states at the Fermi level is 0.11 states/eV per atom. The calculation puts the total magnetization at 0.000 μB per atom. The final energy is -4.657 eV per atom.

---

[16]
Material: SrLiOs2
Method: DFT, GGA-PBEsol
State: optimized geometry

```
SrLiOs2
1.0
2.780 0.000 0.000
0.000 5.086 0.000
0.000 -2.543 4.889
Os Sr Li
2 1 1
direct
0.000 0.500 0.500 Os
0.000 0.000 0.500 Os
0.500 0.000 0.000 Sr
0.500 0.500 0.000 Li
```

## Properties
Its energy above the most stable polymorph in this dataset is 116.7 meV per atom. As for the space group: No. 65. The density of states at the Fermi level is 0.90 states/eV per atom. The calculation puts the total magnetization at 0.000 μB per atom.

---

[17]
Material: Sr2LiOs
Method: DFT, GGA-PBEsol
State: optimized geometry

```
Sr2LiOs
1.0
-2.466 -1.238 -4.255
-4.035 -3.066 0.208
-4.640 1.852 -0.873
Sr Li Os
2 1 1
direct
0.750 0.750 0.750 Sr
0.000 0.000 0.000 Sr
0.500 0.500 0.500 Li
0.250 0.250 0.250 Os
```

## Properties
As for the space group: No. 216. The density of states at the Fermi level is 0.79 states/eV per atom. The calculation puts the total magnetization at 0.000 μB per atom. The final energy is -3.729 eV per atom.

---

[18]
Material: Sr2LiOs
Method: DFT, GGA-PBEsol
State: optimized geometry

```
Sr2LiOs
1.0
-0.101 -1.409 3.288
5.306 0.216 0.255
-2.094 5.538 0.362
Os Sr Li
1 2 1
direct
0.225 0.763 0.449 Os
0.958 0.921 0.916 Sr
0.756 0.271 0.512 Sr
0.561 0.546 0.123 Li
```

## Properties
As for the space group: No. 8. The density of states at the Fermi level is 0.87 states/eV per atom. The calculation puts the total magnetization at 0.000 μB per atom. The final energy is -3.877 eV per atom.

---

[19]
Material: SrLiOs2
Method: DFT, GGA-PBEsol
State: optimized geometry

```
SrLiOs2
1.0
2.795 0.023 0.000
-0.394 4.740 0.000
-1.201 -2.381 5.021
Os Li Sr
2 1 1
direct
0.000 0.000 0.500 Os
0.500 0.500 0.500 Os
0.500 0.000 0.000 Li
0.000 0.500 0.000 Sr
```

## Properties
Its energy above the most stable polymorph in this dataset is 0.0 meV per atom. As for the space group: No. 12. The density of states at the Fermi level is 0.68 states/eV per atom. The calculation puts the total magnetization at 0.000 μB per atom.

---

[20]
Material: SrLiOs3
Method: DFT, GGA-PBEsol
State: optimized geometry

```
SrLiOs3
1.0
4.853 0.000 0.000
0.000 4.853 0.000
0.000 0.000 4.853
Sr Os Li
1 3 1
direct
0.000 0.000 0.000 Sr
0.000 0.500 0.000 Os
0.000 0.000 0.500 Os
0.500 0.000 0.000 Os
0.500 0.500 0.500 Li
```

## Properties
As for the space group: No. 221. The density of states at the Fermi level is 1.48 states/eV per atom. The calculation puts the total magnetization at 0.658 μB per atom. The final energy is -4.569 eV per atom.